# Ac2BiPd (PBE-GGA, optimized geometry)
data_Ac2BiPd
_cell_length_a 4.6286
_cell_length_b 4.6286
_cell_length_c 23.2520
_cell_angle_alpha 90.00
_cell_angle_beta 90.00
_cell_angle_gamma 120.00
_space_group_name_H-M_alt 'P 1'
_space_group_IT_number 1
_space_group_name_Hall 'P 1'
loop_
_atom_site_label
_atom_site_type_symbol
_atom_site_fract_x
_atom_site_fract_y
_atom_site_fract_z
_atom_site_occupancy
Ac1 Ac 0.0000 0.0000 0.2413 1
Ac2 Ac 0.0000 0.0000 0.7587 1
Ac3 Ac 0.3333 0.6667 0.4254 1
Ac4 Ac 0.3333 0.6667 0.9079 1
Ac5 Ac 0.6667 0.3333 0.0921 1
Ac6 Ac 0.6667 0.3333 0.5746 1
Bi1 Bi 0.0000 0.0000 0.0000 1
Bi2 Bi 0.3333 0.6667 0.6667 1
Bi3 Bi 0.6667 0.3333 0.3333 1
Pd1 Pd 0.0000 0.0000 0.5000 1
Pd2 Pd 0.3333 0.6667 0.1667 1
Pd3 Pd 0.6667 0.3333 0.8333 1
# ρ ... 8884 kg/m³
# DOS(E_F) ... 8.68 states/eV/cell
# Total magnetic moment ... 0.000 μB per cell
# Space-group type ... R-3m, No. 166
# Energy of formation from the pure elements ... -775 meV per atom
# Energy above the lowest structure with this stoichiometry ... 0.00 kJ/mol of atoms

# Pa4Cr (PBE-GGA, optimized geometry)
data_Pa4Cr
_cell_length_a 5.0137
_cell_length_b 5.0137
_cell_length_c 5.0137
_cell_angle_alpha 90.00
_cell_angle_beta 90.00
_cell_angle_gamma 90.00
_space_group_name_H-M_alt 'P 1'
_space_group_IT_number 1
_space_group_name_Hall 'P 1'
loop_
_atom_site_label
_atom_site_type_symbol
_atom_site_fract_x
_atom_site_fract_y
_atom_site_fract_z
_atom_site_occupancy
Pa1 Pa 0.0000 0.0000 0.0000 1
Pa2 Pa 0.0000 0.5000 0.5000 1
Pa3 Pa 0.5000 0.0000 0.5000 1
Pa4 Pa 0.5000 0.5000 0.0000 1
Cr1 Cr 0.5000 0.5000 0.5000 1
# ρ ... 12862 kg/m³
# DOS(E_F) ... 10.87 states/eV/cell
# Total magnetic moment ... 0.000 μB per cell
# Space-group type ... Pm-3m, No. 221
# Energy of formation from the pure elements ... 506 meV per atom

# HfTaBe2Si (PBE-GGA, optimized geometry)
data_HfTaBe2Si
_cell_length_a 4.3531
_cell_length_b 4.3531
_cell_length_c 4.6886
_cell_angle_alpha 90.00
_cell_angle_beta 90.00
_cell_angle_gamma 90.00
_space_group_name_H-M_alt 'P 1'
_space_group_IT_number 1
_space_group_name_Hall 'P 1'
loop_
_atom_site_label
_atom_site_type_symbol
_atom_site_fract_x
_atom_site_fract_y
_atom_site_fract_z
_atom_site_occupancy
Hf1 Hf 0.0000 0.0000 0.0000 1
Ta1 Ta 0.5000 0.5000 0.5000 1
Be1 Be 0.0000 0.5000 0.0000 1
Be2 Be 0.5000 0.0000 0.0000 1
Si1 Si 0.0000 0.0000 0.5000 1
# ρ ... 7580 kg/m³
# DOS(E_F) ... 4.61 states/eV/cell
# Raw formation energy ... 36.13 kcal/mol of atoms
# Total magnetic moment ... 0.000 μB per cell
# Space-group type ... P4/mmm, No. 123